1.
A plane-wave DFT calculation with GGA+U was carried out for a geometry-optimized CdMoO3 structure.

Properties
* E_tot: -5.811 eV per atom
* symmetry: C2/m

a b c (Å): 3.2532 6.3841 7.0465
angles (deg): 99.61 90.00 104.76
Last column: magnetic moment on the atom in μB.
Sites, in units of the cell vectors:
1 Cd 0.8693 0.7385 0.1079  0.02
2 O 0.8143 0.6285 0.4358  -0.02
3 Cd 0.1307 0.2615 0.8921  0.02
4 Mo 0.6395 0.2791 0.3690  1.86
5 O 0.6807 0.3615 0.1052  0.01
6 O 0.1857 0.3715 0.5642  -0.02
7 O 0.0374 0.0748 0.2673  0.04
8 O 0.9626 0.9252 0.7327  0.04
9 O 0.3193 0.6385 0.8948  0.01
10 Mo 0.3605 0.7209 0.6310  1.86

---

2.
A plane-wave DFT calculation with GGA+U was carried out for a geometry-optimized Cd2Mo2O7 structure.

Properties
* E_tot: -6.007 eV per atom
* symmetry: Fd-3m

a b c (Å): 7.4069 7.4069 7.4069
angles (deg): 60.00 60.00 60.00
Last column: magnetic moment on the atom in μB.
Sites, in units of the cell vectors:
1 O 0.0589 0.4411 0.0589  -0.04
2 Cd 0.6250 0.1250 0.6250  0.01
3 O 0.8089 0.1911 0.1911  -0.04
4 Cd 0.6250 0.6250 0.6250  0.01
5 Mo 0.1250 0.1250 0.6250  1.09
6 O 0.0589 0.0589 0.4411  -0.04
7 Cd 0.1250 0.6250 0.6250  0.01
8 O 0.4411 0.0589 0.0589  -0.04
9 O 0.4411 0.0589 0.4411  -0.04
10 O 0.1911 0.8089 0.8089  -0.04
11 O 0.0589 0.4411 0.4411  -0.04
12 O 0.7500 0.7500 0.7500  -0.02
13 O 0.8089 0.8089 0.1911  -0.04
14 O 0.8089 0.1911 0.8089  -0.04
15 Mo 0.6250 0.1250 0.1250  1.09
16 O 0.5000 0.5000 0.5000  -0.02
17 O 0.1911 0.8089 0.1911  -0.04
18 Cd 0.6250 0.6250 0.1250  0.01
19 O 0.1911 0.1911 0.8089  -0.04
20 O 0.4411 0.4411 0.0589  -0.04
21 Mo 0.1250 0.6250 0.1250  1.09
22 Mo 0.1250 0.1250 0.1250  1.09

---

3.
A plane-wave DFT calculation with GGA+U was carried out for a geometry-optimized Cd2MoO structure.

Properties
* E_tot: -3.451 eV per atom
* symmetry: I-42d

a b c (Å): 8.7313 8.7313 6.5459
angles (deg): 48.17 48.17 90.00
Last column: magnetic moment on the atom in μB.
Sites, in units of the cell vectors:
1 Mo 0.7500 0.2500 0.5000  3.45
2 Cd 0.2277 0.6250 0.2500  -0.01
3 Mo 0.0000 0.0000 0.0000  3.45
4 Cd 0.3750 0.4777 0.7500  0.00
5 Cd 0.8750 0.7723 0.7500  -0.01
6 Cd 0.5223 0.1250 0.2500  0.00
7 O 0.5000 0.5000 0.0000  0.11
8 O 0.2500 0.7500 0.5000  0.11

---

4.
A plane-wave DFT calculation with GGA+U was carried out for a geometry-optimized CdMoO3 structure.

Properties
* E_tot: -5.730 eV per atom
* symmetry: Pm-3m

a b c (Å): 3.9869 3.9869 3.9869
angles (deg): 90.00 90.00 90.00
Last column: magnetic moment on the atom in μB.
Sites, in units of the cell vectors:
1 O 0.0000 0.0000 0.5000  -0.02
2 O 0.5000 0.0000 0.0000  -0.10
3 O 0.0000 0.5000 0.0000  -0.02
4 Cd 0.5000 0.5000 0.5000  0.10
5 Mo 0.0000 0.0000 0.0000  1.66

---

5.
A plane-wave DFT calculation with GGA+U was carried out for a geometry-optimized CdMoO2 structure.

Properties
* E_tot: -5.293 eV per atom
* symmetry: I-42d

a b c (Å): 6.2465 6.2465 6.2450
angles (deg): 59.99 59.99 90.00
Last column: magnetic moment on the atom in μB.
Sites, in units of the cell vectors:
1 Cd 0.0000 0.0000 0.0000  -0.01
2 Mo 0.2500 0.7500 0.5000  1.93
3 Mo 0.5000 0.5000 0.0000  1.93
4 O 0.4336 0.6250 0.2500  0.00
5 O 0.3750 0.6836 0.7500  0.00
6 O 0.8750 0.5664 0.7500  -0.01
7 Cd 0.7500 0.2500 0.5000  -0.01
8 O 0.3164 0.1250 0.2500  0.01

---

6.
A plane-wave DFT calculation with GGA+U was carried out for a geometry-optimized CdMoO6 structure.

Properties
* E_tot: -5.142 eV per atom
* symmetry: Fm-3m

a b c (Å): 5.9135 5.9135 5.9135
angles (deg): 60.00 60.00 60.00
Last column: magnetic moment on the atom in μB.
Sites, in units of the cell vectors:
1 Mo 0.0000 0.0000 0.0000  -0.49
2 O 0.7713 0.2287 0.7713  0.62
3 O 0.2287 0.2287 0.7713  0.62
4 O 0.2287 0.7713 0.7713  0.62
5 O 0.7713 0.7713 0.2287  0.62
6 Cd 0.5000 0.5000 0.5000  0.04
7 O 0.2287 0.7713 0.2287  0.62
8 O 0.7713 0.2287 0.2287  0.62

---

7.
A plane-wave DFT calculation with GGA+U was carried out for a geometry-optimized CdMoPO6 structure.

Properties
* E_tot: -6.613 eV per atom
* symmetry: P2_1/c

a b c (Å): 8.6747 4.9908 11.8318
angles (deg): 70.94 90.00 90.00
Last column: magnetic moment on the atom in μB.
Sites, in units of the cell vectors:
1 O 0.4611 0.9411 0.2229  0.00
2 O 0.0169 0.3406 0.4148  0.00
3 O 0.3907 0.1274 0.5353  0.02
4 O 0.8907 0.8726 0.9647  0.02
5 O 0.5168 0.4106 0.3104  -0.01
6 O 0.2699 0.2601 0.7765  0.01
7 O 0.7699 0.7399 0.7235  0.01
8 O 0.9832 0.4106 0.8104  -0.01
9 Mo 0.4091 0.0117 0.3863  1.04
10 O 0.9611 0.0589 0.2771  0.00
11 O 0.7858 0.2777 0.0610  -0.08
12 O 0.1093 0.1274 0.0353  0.02
13 O 0.4831 0.3406 0.9148  0.00
14 Mo 0.0909 0.0117 0.8863  1.04
15 Mo 0.9091 0.9883 0.1137  1.04
16 Cd 0.8280 0.6722 0.4239  0.01
17 Cd 0.3280 0.3278 0.0761  0.01
18 P 0.0554 0.3173 0.2912  0.00
19 O 0.2142 0.7223 0.9390  -0.08
20 Mo 0.5909 0.9883 0.6137  1.04
21 O 0.2301 0.2601 0.2765  0.01
22 P 0.5554 0.6827 0.2088  0.00
23 O 0.7142 0.2777 0.5610  -0.08
24 O 0.0168 0.5894 0.1896  -0.01
25 O 0.6093 0.8726 0.4647  0.02
26 O 0.2858 0.7223 0.4390  -0.08
27 Cd 0.1720 0.3278 0.5761  0.01
28 O 0.5389 0.0589 0.7771  0.00
29 O 0.7301 0.7399 0.2235  0.01
30 P 0.4446 0.3173 0.7912  0.00
31 Cd 0.6720 0.6722 0.9239  0.01
32 O 0.0389 0.9411 0.7229  0.00
33 O 0.4832 0.5894 0.6896  -0.01
34 P 0.9446 0.6827 0.7088  0.00
35 O 0.5169 0.6594 0.0852  0.00
36 O 0.9831 0.6594 0.5852  0.00

---

8.
A plane-wave DFT calculation with GGA+U was carried out for a geometry-optimized PaCdMoO6 structure.

Properties
* E_tot: -7.469 eV per atom
* symmetry: P-31c

a b c (Å): 5.6349 5.6349 9.3624
angles (deg): 90.00 90.00 120.00
Last column: magnetic moment on the atom in μB.
Sites, in units of the cell vectors:
1 O 0.6537 0.6311 0.1381  0.00
2 Mo 0.3333 0.6667 0.7500  0.92
3 O 0.0225 0.3689 0.6381  0.00
4 Cd 0.0000 0.0000 0.0000  0.00
5 O 0.0225 0.6537 0.8619  0.00
6 O 0.3689 0.0225 0.1381  0.00
7 O 0.3463 0.3689 0.8619  0.00
8 Mo 0.6667 0.3333 0.2500  0.92
9 O 0.3689 0.3463 0.3619  0.00
10 O 0.6311 0.6537 0.6381  0.00
11 O 0.9775 0.6311 0.3619  0.00
12 Cd 0.0000 0.0000 0.5000  0.00
13 O 0.9775 0.3463 0.1381  0.00
14 O 0.3463 0.9775 0.6381  0.00
15 Pa 0.6667 0.3333 0.7500  0.06
16 O 0.6311 0.9775 0.8619  0.00
17 Pa 0.3333 0.6667 0.2500  0.06
18 O 0.6537 0.0225 0.3619  0.00

---

9.
A plane-wave DFT calculation with GGA+U was carried out for a geometry-optimized PaCd2MoO6 structure.

Properties
* E_tot: -6.635 eV per atom
* symmetry: P4mm

a b c (Å): 4.3979 5.8707 5.8707
angles (deg): 90.00 90.00 90.00
Last column: magnetic moment on the atom in μB.
Sites, in units of the cell vectors:
1 O 0.1537 0.5000 0.5000  -0.01
2 O 0.1827 0.0000 0.0000  -0.06
3 Pa 0.6453 0.5000 0.5000  0.02
4 Mo 0.5839 0.0000 0.0000  0.92
5 Cd 0.0516 0.5000 0.0000  -0.02
6 O 0.6945 0.7648 0.2352  0.00
7 O 0.6945 0.2352 0.2352  0.00
8 O 0.6945 0.2352 0.7648  0.00
9 Cd 0.0516 0.0000 0.5000  -0.02
10 O 0.6945 0.7648 0.7648  0.00

---

10.
A plane-wave DFT calculation with GGA+U was carried out for a geometry-optimized PaCd2MoO8 structure.

Properties
* E_tot: -6.678 eV per atom
* symmetry: Cmmm

a b c (Å): 5.0841 5.0836 6.6580
angles (deg): 90.00 90.00 92.95
Sites, in units of the cell vectors:
1 O 0.2732 0.2731 0.0000
2 O 0.7268 0.7269 0.0000
3 O 0.2934 0.2931 0.5000
4 O 0.1746 0.8252 0.2247
5 O 0.7066 0.7069 0.5000
6 O 0.8254 0.1748 0.7753
7 Cd 0.5000 0.5000 0.7602
8 O 0.1746 0.8253 0.7753
9 Mo 0.0000 0.0000 0.0000
10 Pa 0.0000 0.0000 0.5000
11 O 0.8254 0.1747 0.2247
12 Cd 0.5000 0.5000 0.2398

---

11.
A plane-wave DFT calculation with GGA+U was carried out for a geometry-optimized CdMoPb2O6 structure.

Properties
* E_tot: -5.833 eV per atom
* symmetry: P2_1/c

a b c (Å): 5.8006 5.9840 8.3125
angles (deg): 90.00 89.57 90.00
Sites, in units of the cell vectors:
1 O 0.7767 0.8196 0.5378
2 Pb 0.9942 0.0408 0.7456
3 O 0.5883 0.0330 0.2719
4 O 0.3235 0.7307 0.4501
5 O 0.1765 0.2307 0.0499
6 O 0.8235 0.7693 0.9501
7 Pb 0.0058 0.9592 0.2544
8 Pb 0.5058 0.5408 0.7544
9 Cd 0.5000 0.0000 0.0000
10 O 0.2233 0.1804 0.4622
11 O 0.4117 0.9670 0.7281
12 Mo 0.0000 0.5000 0.0000
13 O 0.0883 0.4670 0.7719
14 O 0.6765 0.2693 0.5499
15 O 0.9117 0.5330 0.2281
16 O 0.7233 0.3196 0.9622
17 Mo 0.5000 0.0000 0.5000
18 Cd 0.0000 0.5000 0.5000
19 O 0.2767 0.6804 0.0378
20 Pb 0.4942 0.4592 0.2456

---

12.
A plane-wave DFT calculation with GGA+U was carried out for a geometry-optimized CdMo2PdO8 structure.

Properties
* E_tot: -6.111 eV per atom
* symmetry: I-4m2

a b c (Å): 6.1345 6.1345 6.1345
angles (deg): 109.69 109.69 109.04
Last column: magnetic moment on the atom in μB.
Sites, in units of the cell vectors:
1 O 0.8995 0.6034 0.7039  0.03
2 O 0.4486 0.6530 0.7956  0.11
3 O 0.8043 0.1005 0.7039  0.03
4 O 0.3470 0.1426 0.7956  0.11
5 Pd 0.2500 0.7500 0.5000  1.33
6 Cd 0.0000 0.0000 0.0000  0.00
7 Mo 0.5000 0.5000 0.0000  0.06
8 O 0.8995 0.1957 0.2961  0.03
9 O 0.3470 0.5514 0.2044  0.11
10 Mo 0.7500 0.2500 0.5000  -0.01
11 O 0.3966 0.1005 0.2961  0.03
12 O 0.8574 0.6530 0.2044  0.11

---

Table of total magnetic moment (μB per cell), in record order: 4.000; 3.997; 7.994; 1.769; 4.004; 4.000; 4.000; 2.000; 0.782; 0.002; 0.000; 2.040